[1]
LaAl2Os after structural relaxation, computed with GGA-PBEsol.

Cell: 4.259 4.260 5.872 Å, 111.24 90.00 119.99°
Sites, in units of the cell vectors:
Os1 0.500 0.000 0.000
Al1 0.797 0.593 0.890
Al2 0.203 0.407 0.110
La1 0.000 0.000 0.500

Summary:
- ρ (g/cm3) = 7.6
- space group = No. 166
- total magnetic moment (μB per cell) = 0.00
- DFT formation energy (eV per atom) = -0.3312
- energy (eV per atom) = -6.77


[2]
KLi2In after structural relaxation, computed with GGA-PBEsol.

Cell: 4.605 4.605 6.085 Å, 112.23 112.23 90.00°
Sites, in units of the cell vectors:
In1 0.500 0.500 0.000
K1 0.250 0.750 0.500
Li1 0.000 0.000 0.000
Li2 0.750 0.250 0.500

Summary:
- ρ (g/cm3) = 2.6
- space group = No. 119
- total magnetic moment (μB per cell) = 0.00
- DFT formation energy (eV per atom) = 0.0502
- energy (eV per atom) = -1.96


[3]
La2ScW after structural relaxation, computed with GGA-PBEsol.

Cell: 3.205 4.620 6.696 Å, 90.00 100.97 90.00°
Sites, in units of the cell vectors:
La1 0.867 0.000 0.970
La2 0.511 0.500 0.269
Sc1 0.070 0.000 0.548
W1 0.553 0.500 0.713

Summary:
- polymorph energy (0 for the lowest one) (meV per atom) = 59.2
- ρ (g/cm3) = 8.6
- space group = No. 6
- total magnetic moment (μB per cell) = 0.00
- DFT formation energy (eV per atom) = 0.4475
- energy (eV per atom) = -7.33


[4]
Ba2Ga2S5 after structural relaxation, computed with GGA-PBEsol.

Cell: 8.500 10.615 10.615 Å, 86.58 78.57 78.57°
Sites, in units of the cell vectors:
Ba1 0.609 0.012 0.284
Ba2 0.891 0.716 0.988
Ba3 0.391 0.988 0.716
Ba4 0.109 0.284 0.012
Ba5 0.604 0.427 0.269
Ba6 0.896 0.731 0.573
Ba7 0.396 0.573 0.731
Ba8 0.104 0.269 0.427
Ga1 0.620 0.234 0.621
Ga2 0.880 0.379 0.766
Ga3 0.380 0.766 0.379
Ga4 0.120 0.621 0.234
Ga5 0.584 0.226 0.980
Ga6 0.916 0.020 0.774
Ga7 0.416 0.774 0.020
Ga8 0.084 0.980 0.226
S1 0.250 0.972 0.028
S2 0.750 0.028 0.972
S3 0.774 0.035 0.610
S4 0.726 0.390 0.965
S5 0.226 0.965 0.390
S6 0.274 0.610 0.035
S7 0.458 0.236 0.481
S8 0.042 0.519 0.764
S9 0.542 0.764 0.519
S10 0.958 0.481 0.236
S11 0.097 0.834 0.749
S12 0.403 0.251 0.166
S13 0.903 0.166 0.251
S14 0.597 0.749 0.834
S15 0.442 0.263 0.815
S16 0.058 0.185 0.737
S17 0.750 0.407 0.593
S18 0.250 0.593 0.407
S19 0.942 0.815 0.263
S20 0.558 0.737 0.185

Summary:
- ρ (g/cm3) = 4.1
- space group = No. 15
- total magnetic moment (μB per cell) = 0.00
- energy (eV per atom) = -5.07


- Number 3 is which compound?
  La2ScW